Entry 1:
SiTe2 | the Alexandria database | PBE-GGA | optimized geometry; energy = -3.527 eV per atom; size of the total moment = 0.0 μB per formula unit
1.0
-1.8119 1.8356 13.0195
1.8119 -1.8356 13.0195
1.8119 1.8356 -13.0195
Si Te
2 4
Direct
0.3824 0.1324 0.2500
0.6176 0.8676 0.7500
0.0721 0.3221 0.7500
0.2073 0.4573 0.7500
0.7927 0.5427 0.2500
0.9279 0.6779 0.2500

***

Entry 2:
NaNi2AsH2 | the Alexandria database | PBE-GGA | optimized geometry; energy = -4.208 eV per atom; size of the total moment = 0.0 μB per formula unit
1.0
4.1905 0.0000 0.0000
0.0000 4.9663 0.0000
-0.8780 0.0000 7.3823
Na Ni As H
2 4 2 4
Direct
0.2297 0.2500 0.3873
0.7703 0.7500 0.6127
0.3081 0.0093 0.8377
0.3081 0.4907 0.8377
0.6919 0.5093 0.1623
0.6919 0.9907 0.1623
0.1822 0.7500 0.0891
0.8178 0.2500 0.9109
0.2953 0.7500 0.7008
0.2987 0.2500 0.6856
0.7013 0.7500 0.3144
0.7047 0.2500 0.2992

***

Entry 3:
PrHo5ErTh2 | the Alexandria database | PBE-GGA | optimized geometry; size of the total moment = 0.0 μB per formula unit; energy of formation = 333 meV/atom
1.0
-4.3545 4.3545 7.7835
4.3545 -4.3545 7.7835
4.3545 4.3545 -7.7835
Pr Ho Er Th
2 10 2 4
Direct
0.2500 0.7500 0.5000
0.7500 0.2500 0.5000
0.0000 0.0000 0.0000
0.0688 0.5688 0.9171
0.1517 0.0688 0.5000
0.3483 0.8483 0.9171
0.4312 0.3483 0.5000
0.5000 0.5000 0.0000
0.5688 0.6517 0.5000
0.6517 0.1517 0.0829
0.8483 0.9312 0.5000
0.9312 0.4312 0.0829
0.2500 0.2500 0.0000
0.7500 0.7500 0.0000
0.1196 0.3804 0.5000
0.3804 0.8804 0.2607
0.6196 0.1196 0.7393
0.8804 0.6196 0.5000

***

Entry 4:
AgBrN2O | the Alexandria database | PBE-GGA | optimized geometry; energy = -3.177 eV per atom; size of the total moment = 2.4 μB per formula unit
1.0
4.2459 0.0000 0.0000
0.0000 4.2459 0.0000
0.0000 0.0000 4.2745
Ag Br N O
1 1 2 1
Direct
0.0000 0.0000 0.0000
0.5000 0.5000 0.5000
0.0000 0.5000 0.0000
0.5000 0.0000 0.0000
0.0000 0.0000 0.5000

***

Entry 5:
NdSm3Tm4 | the Alexandria database | PBE-GGA | optimized geometry; distance to the lowest polymorph of the same formula = 0 meV per atom; size of the total moment = 0.0 μB per formula unit; energy of formation = 20 meV/atom
1.0
6.1823 0.0000 0.0000
0.0000 3.5725 0.0000
-2.0704 0.0000 11.5402
Nd Sm Tm
1 3 4
Direct
0.0000 0.0000 0.0000
0.0000 0.5000 0.5000
0.5000 0.0000 0.5000
0.5000 0.5000 0.0000
0.2498 0.0000 0.7494
0.2505 0.5000 0.2506
0.7502 0.0000 0.2506
0.7495 0.5000 0.7494

***

Entry 6:
Sm2Dy8Er3 | the Alexandria database | PBE-GGA | optimized geometry; distance to the lowest polymorph of the same formula = 0 meV per atom; size of the total moment = 0.0 μB per formula unit; energy of formation = 89 meV/atom
1.0
3.5427 0.0000 0.0000
0.0000 11.9937 0.0000
-0.0063 0.0000 19.6867
Sm Dy Er
4 16 6
Direct
0.0011 0.1822 0.1152
0.0011 0.3178 0.6152
0.9989 0.6822 0.3848
0.9989 0.8178 0.8848
0.0001 0.0387 0.5783
0.0003 0.1013 0.8649
0.0003 0.3987 0.3649
0.0001 0.4613 0.0783
0.9999 0.5387 0.9217
0.9997 0.6013 0.6351
0.9997 0.8987 0.1351
0.9999 0.9613 0.4217
0.0007 0.6432 0.2078
0.0007 0.8568 0.7078
0.5001 0.2057 0.4587
0.5001 0.2943 0.9587
0.4999 0.7057 0.0413
0.4999 0.7943 0.5413
0.9993 0.1432 0.2922
0.9993 0.3568 0.7922
0.5000 0.0000 0.0000
0.5003 0.1218 0.7175
0.5003 0.3782 0.2175
0.5000 0.5000 0.5000
0.4997 0.6218 0.7825
0.4997 0.8782 0.2825

***

Entry 7:
Be2AuBr | the Alexandria database | PBE-GGA | optimized geometry; distance to the lowest polymorph of the same formula = 1263 meV per atom; size of the total moment = 0.0 μB per formula unit
1.0
0.0000 3.2587 3.2587
3.2587 0.0000 3.2587
3.2587 3.2587 0.0000
Be Au Br
2 1 1
Direct
0.0000 0.0000 0.0000
0.2500 0.2500 0.2500
0.5000 0.5000 0.5000
0.7500 0.7500 0.7500

***

Entry 8:
La2YRhO | the Alexandria database | PBE-GGA | optimized geometry; energy = -6.985 eV per atom; size of the total moment = 0.0 μB per formula unit
1.0
5.0482 0.0000 0.0000
0.0000 5.0482 0.0000
0.0000 0.0000 4.5463
La Y Rh O
2 1 1 1
Direct
0.0000 0.5000 0.0000
0.5000 0.0000 0.0000
0.0000 0.0000 0.5000
0.5000 0.5000 0.5000
0.0000 0.0000 0.0000

***

Entry 9:
SnB3Pt | the Alexandria database | PBE-GGA | optimized geometry; distance to the lowest polymorph of the same formula = 0 meV per atom; size of the total moment = 0.0 μB per formula unit; energy of formation = 1111 meV/atom
1.0
4.2172 0.0000 0.0000
0.0000 4.2172 0.0000
0.0000 0.0000 4.2172
Sn B Pt
1 3 1
Direct
0.0000 0.0000 0.0000
0.0000 0.5000 0.5000
0.5000 0.0000 0.5000
0.5000 0.5000 0.0000
0.5000 0.5000 0.5000

***

Repeat the second record exactly.
NaNi2AsH2 | the Alexandria database | PBE-GGA | optimized geometry; energy = -4.208 eV per atom; size of the total moment = 0.0 μB per formula unit
1.0
4.1905 0.0000 0.0000
0.0000 4.9663 0.0000
-0.8780 0.0000 7.3823
Na Ni As H
2 4 2 4
Direct
0.2297 0.2500 0.3873
0.7703 0.7500 0.6127
0.3081 0.0093 0.8377
0.3081 0.4907 0.8377
0.6919 0.5093 0.1623
0.6919 0.9907 0.1623
0.1822 0.7500 0.0891
0.8178 0.2500 0.9109
0.2953 0.7500 0.7008
0.2987 0.2500 0.6856
0.7013 0.7500 0.3144
0.7047 0.2500 0.2992